## InSe (PBE)

Data for a relaxed structure of InSe.

Unit cell a=11.873 b=11.873 c=3.976 alpha=90.00 beta=90.00 gamma=90.00
Fractional positions:
In 0.161 0.688 0.000
In 0.188 0.339 0.500
In 0.312 0.161 0.000
In 0.339 0.812 0.500
In 0.661 0.188 0.500
In 0.688 0.839 0.000
In 0.812 0.661 0.500
In 0.839 0.312 0.000
Se 0.020 0.745 0.500
Se 0.245 0.480 0.000
Se 0.255 0.020 0.500
Se 0.480 0.755 0.000
Se 0.520 0.245 0.000
Se 0.745 0.980 0.500
Se 0.755 0.520 0.000
Se 0.980 0.255 0.500

Calculated values
ΔE_f (raw)	-0.67	eV per formula unit

=====

## SmHfTe3 (PBE)

Data for a relaxed structure of SmHfTe3.

Unit cell a=9.095 b=4.133 c=15.262 alpha=90.00 beta=90.00 gamma=90.00
Fractional positions:
Sm 0.089 0.250 0.167
Sm 0.411 0.750 0.667
Sm 0.589 0.250 0.333
Sm 0.911 0.750 0.833
Hf 0.135 0.750 0.459
Hf 0.365 0.250 0.959
Hf 0.635 0.750 0.041
Hf 0.865 0.250 0.541
Te 0.032 0.750 0.631
Te 0.153 0.750 0.008
Te 0.199 0.250 0.795
Te 0.301 0.750 0.295
Te 0.347 0.250 0.508
Te 0.468 0.250 0.131
Te 0.532 0.750 0.869
Te 0.653 0.750 0.492
Te 0.699 0.250 0.705
Te 0.801 0.750 0.205
Te 0.847 0.250 0.992
Te 0.968 0.250 0.369

Calculated values
ΔE_f (raw)	-5.08	eV per formula unit

=====

## LaCoBr (PBE)

Data for a relaxed structure of LaCoBr.

Unit cell a=11.927 b=11.927 c=11.927 alpha=19.74 beta=19.74 gamma=19.74
Fractional positions:
La 0.055 0.055 0.055
La 0.945 0.945 0.945
Co 0.335 0.335 0.335
Co 0.665 0.665 0.665
Br 0.221 0.221 0.221
Br 0.779 0.779 0.779

Calculated values
ΔE_f (raw)	-2.99	eV per formula unit

=====

## Pm2CdPbAu4 (PBE)

Data for a relaxed structure of Pm2CdPbAu4.

Unit cell a=8.844 b=8.844 c=8.844 alpha=33.14 beta=33.14 gamma=33.14
Fractional positions:
Pm 0.249 0.249 0.249
Pm 0.751 0.751 0.751
Cd 0.000 0.000 0.000
Pb 0.500 0.500 0.500
Au 0.120 0.120 0.120
Au 0.370 0.370 0.370
Au 0.630 0.630 0.630
Au 0.880 0.880 0.880

Calculated values
energy of formation from the pure elements	-5.05	eV per formula unit

=====

## TePt2Br (PBE)

Data for a relaxed structure of TePt2Br.

Unit cell a=6.906 b=3.982 c=7.463 alpha=90.00 beta=107.87 gamma=90.00
Fractional positions:
Te 0.000 0.000 0.000
Te 0.500 0.500 0.000
Pt 0.046 0.500 0.638
Pt 0.277 0.000 0.830
Pt 0.546 0.000 0.638
Pt 0.777 0.500 0.830
Br 0.315 0.500 0.445
Br 0.815 0.000 0.445

Calculated values
energy relative to the lowest polymorph listed for this composition	0	kJ/mol of formula units
ΔE_f (raw)	-0.87	eV per formula unit

=====

## SiHgPH (PBE)

Data for a relaxed structure of SiHgPH.

Unit cell a=6.092 b=3.517 c=8.842 alpha=90.00 beta=102.56 gamma=90.00
Fractional positions:
Si 0.000 0.000 0.000
Si 0.500 0.500 0.000
Hg 0.176 0.000 0.503
Hg 0.676 0.500 0.503
P 0.130 0.500 0.885
P 0.630 0.000 0.885
H 0.055 0.000 0.174
H 0.555 0.500 0.174

Calculated values
raw total energy	-3.68	eV per atom

=====

## Cs2GaTe (PBE)

Data for a relaxed structure of Cs2GaTe.

Unit cell a=9.032 b=9.032 c=9.032 alpha=90.00 beta=90.00 gamma=90.00
Fractional positions:
Cs 0.250 0.250 0.250
Cs 0.250 0.250 0.750
Cs 0.250 0.750 0.250
Cs 0.250 0.750 0.750
Cs 0.750 0.250 0.250
Cs 0.750 0.250 0.750
Cs 0.750 0.750 0.250
Cs 0.750 0.750 0.750
Ga 0.000 0.000 0.000
Ga 0.000 0.500 0.500
Ga 0.500 0.000 0.500
Ga 0.500 0.500 0.000
Te 0.000 0.000 0.500
Te 0.000 0.500 0.000
Te 0.500 0.000 0.000
Te 0.500 0.500 0.500

Calculated values
energy relative to the lowest polymorph listed for this composition	92	kJ/mol of formula units
ΔE_f (raw)	-1.15	eV per formula unit

=====

## ScInRh2 (PBE)

Data for a relaxed structure of ScInRh2.

Unit cell a=3.041 b=3.041 c=7.720 alpha=90.00 beta=90.00 gamma=90.00
Fractional positions:
Sc 0.000 0.000 0.000
In 0.500 0.500 0.326
Rh 0.000 0.000 0.555
Rh 0.500 0.500 0.789

Calculated values
energy of formation from the pure elements	-1.39	eV per formula unit